(1)
# meta-GGA SCAN In3ReBi, single point on PBEsol structure
# DFT formation energy, meV/atom: 660.9
# Energy, eV per atom: -49.31
# Magnetic moment, μB per formula unit: 2.2
data_In3ReBi
_symmetry_space_group_name_H-M 'P m -3 m'
_symmetry_Int_Tables_number 221
_symmetry_space_group_name_Hall '-P 4 2 3'
_cell_length_a 5.198
_cell_length_b 5.198
_cell_length_c 5.198
_cell_angle_alpha 90.00
_cell_angle_beta 90.00
_cell_angle_gamma 90.00
loop_
_atom_site_label
_atom_site_fract_x
_atom_site_fract_y
_atom_site_fract_z
_atom_site_occupancy
In1 0.000 0.000 0.500 1
Re1 0.000 0.000 0.000 1
Bi1 0.500 0.500 0.500 1

(2)
# meta-GGA SCAN In2ReBi2, single point on PBEsol structure
# DFT formation energy, meV/atom: 1256.7
# Energy, eV per atom: -57.75
# Magnetic moment, μB per formula unit: 3.3
data_In2ReBi2
_symmetry_space_group_name_H-M 'I 4/m m m'
_symmetry_Int_Tables_number 139
_symmetry_space_group_name_Hall '-I 4 2'
_cell_length_a 4.161
_cell_length_b 4.161
_cell_length_c 16.085
_cell_angle_alpha 90.00
_cell_angle_beta 90.00
_cell_angle_gamma 90.00
loop_
_atom_site_label
_atom_site_fract_x
_atom_site_fract_y
_atom_site_fract_z
_atom_site_occupancy
In1 0.000 0.000 0.085 1
Re1 0.000 0.000 0.500 1
Bi1 0.000 0.500 0.250 1

(3)
# meta-GGA SCAN In3BiRh, single point on PBEsol structure
# DFT formation energy, meV/atom: -16.1
# Energy, eV per atom: -42.52
# Magnetic moment, μB per formula unit: 0.0
data_In3BiRh
_symmetry_space_group_name_H-M 'P m -3 m'
_symmetry_Int_Tables_number 221
_symmetry_space_group_name_Hall '-P 4 2 3'
_cell_length_a 5.081
_cell_length_b 5.081
_cell_length_c 5.081
_cell_angle_alpha 90.00
_cell_angle_beta 90.00
_cell_angle_gamma 90.00
loop_
_atom_site_label
_atom_site_fract_x
_atom_site_fract_y
_atom_site_fract_z
_atom_site_occupancy
In1 0.000 0.000 0.500 1
Bi1 0.500 0.500 0.500 1
Rh1 0.000 0.000 0.000 1

(4)
# meta-GGA SCAN In2BiRh2, single point on PBEsol structure
# DFT formation energy, meV/atom: 158.3
# Energy, eV per atom: -42.42
# Magnetic moment, μB per formula unit: 0.0
data_In2BiRh2
_symmetry_space_group_name_H-M 'I 4/m m m'
_symmetry_Int_Tables_number 139
_symmetry_space_group_name_Hall '-I 4 2'
_cell_length_a 4.621
_cell_length_b 4.621
_cell_length_c 10.026
_cell_angle_alpha 90.00
_cell_angle_beta 90.00
_cell_angle_gamma 90.00
loop_
_atom_site_label
_atom_site_fract_x
_atom_site_fract_y
_atom_site_fract_z
_atom_site_occupancy
In1 0.000 0.000 0.137 1
Bi1 0.000 0.000 0.500 1
Rh1 0.000 0.500 0.250 1

(5)
# meta-GGA SCAN InBiRu2, single point on PBEsol structure
# DFT formation energy, meV/atom: 315.4
# Energy, eV per atom: -45.09
# Magnetic moment, μB per formula unit: 0.0
data_InBiRu2
_symmetry_space_group_name_H-M 'F m -3 m'
_symmetry_Int_Tables_number 225
_symmetry_space_group_name_Hall '-F 4 2 3'
_cell_length_a 6.503
_cell_length_b 6.503
_cell_length_c 6.503
_cell_angle_alpha 90.00
_cell_angle_beta 90.00
_cell_angle_gamma 90.00
loop_
_atom_site_label
_atom_site_fract_x
_atom_site_fract_y
_atom_site_fract_z
_atom_site_occupancy
In1 0.000 0.000 0.000 1
Bi1 0.000 0.000 0.500 1
Ru1 0.250 0.250 0.250 1

(6)
# meta-GGA SCAN InBiRuSe2, single point on PBEsol structure
# Energy, eV per atom: -37.06
# Formation energy without anion corrections, eV/atom: 0.329
# Magnetic moment, μB per formula unit: 0.0
data_InBiRuSe2
_symmetry_space_group_name_H-M 'P 4/m m m'
_symmetry_Int_Tables_number 123
_symmetry_space_group_name_Hall '-P 4 2'
_cell_length_a 4.740
_cell_length_b 4.740
_cell_length_c 5.314
_cell_angle_alpha 90.00
_cell_angle_beta 90.00
_cell_angle_gamma 90.00
loop_
_atom_site_label
_atom_site_fract_x
_atom_site_fract_y
_atom_site_fract_z
_atom_site_occupancy
In1 0.000 0.000 0.000 1
Bi1 0.500 0.500 0.000 1
Ru1 0.000 0.000 0.500 1
Se1 0.000 0.500 0.500 1

(7)
# meta-GGA SCAN InBiRuW2, single point on PBEsol structure
# DFT formation energy, meV/atom: 2620.2
# Energy, eV per atom: -54.61
# Magnetic moment, μB per formula unit: 4.5
data_InBiRuW2
_symmetry_space_group_name_H-M 'P 4/m m m'
_symmetry_Int_Tables_number 123
_symmetry_space_group_name_Hall '-P 4 2'
_cell_length_a 4.900
_cell_length_b 4.900
_cell_length_c 4.769
_cell_angle_alpha 90.00
_cell_angle_beta 90.00
_cell_angle_gamma 90.00
loop_
_atom_site_label
_atom_site_fract_x
_atom_site_fract_y
_atom_site_fract_z
_atom_site_occupancy
In1 0.000 0.000 0.000 1
Bi1 0.500 0.500 0.500 1
Ru1 0.000 0.000 0.500 1
W1 0.000 0.500 0.000 1

(8)
# meta-GGA SCAN InBiSb3, single point on PBEsol structure
# Energy, eV per atom: -43.98
# Formation energy without anion corrections, eV/atom: 0.766
# Magnetic moment, μB per formula unit: 0.0
data_InBiSb3
_symmetry_space_group_name_H-M 'P m -3 m'
_symmetry_Int_Tables_number 221
_symmetry_space_group_name_Hall '-P 4 2 3'
_cell_length_a 5.469
_cell_length_b 5.469
_cell_length_c 5.469
_cell_angle_alpha 90.00
_cell_angle_beta 90.00
_cell_angle_gamma 90.00
loop_
_atom_site_label
_atom_site_fract_x
_atom_site_fract_y
_atom_site_fract_z
_atom_site_occupancy
In1 0.000 0.000 0.000 1
Bi1 0.500 0.500 0.500 1
Sb1 0.000 0.000 0.500 1

(9)
# meta-GGA SCAN In2BiSb2, single point on PBEsol structure
# Energy, eV per atom: -43.87
# Formation energy without anion corrections, eV/atom: 0.102
# Magnetic moment, μB per formula unit: 0.0
data_In2BiSb2
_symmetry_space_group_name_H-M 'P 4/m b m'
_symmetry_Int_Tables_number 127
_symmetry_space_group_name_Hall '-P 4 2ab'
_cell_length_a 8.437
_cell_length_b 8.437
_cell_length_c 3.905
_cell_angle_alpha 90.00
_cell_angle_beta 90.00
_cell_angle_gamma 90.00
loop_
_atom_site_label
_atom_site_fract_x
_atom_site_fract_y
_atom_site_fract_z
_atom_site_occupancy
In1 0.146 0.354 0.000 1
Bi1 0.000 0.000 0.500 1
Sb1 0.154 0.654 0.500 1

(10)
# meta-GGA SCAN Sc2In2Bi, single point on PBEsol structure
# DFT formation energy, meV/atom: -1.9
# Energy, eV per atom: -34.77
# Magnetic moment, μB per formula unit: 0.9
data_Sc2In2Bi
_symmetry_space_group_name_H-M 'I 4/m m m'
_symmetry_Int_Tables_number 139
_symmetry_space_group_name_Hall '-I 4 2'
_cell_length_a 4.570
_cell_length_b 4.570
_cell_length_c 12.644
_cell_angle_alpha 90.00
_cell_angle_beta 90.00
_cell_angle_gamma 90.00
loop_
_atom_site_label
_atom_site_fract_x
_atom_site_fract_y
_atom_site_fract_z
_atom_site_occupancy
Sc1 0.000 0.500 0.250 1
In1 0.000 0.000 0.106 1
Bi1 0.000 0.000 0.500 1